Density functional theory data (PBE-GGA) for a relaxed LiHfFeSi crystal.

Cell: 4.2113 4.2113 4.2113 Å, 60.00 60.00 60.00°
Sites, in units of the cell vectors:
Fe 0.7500 0.7500 0.7500
Hf 0.5000 0.5000 0.5000
Li 0.2500 0.2500 0.2500
Si 0.0000 0.0000 0.0000

energy relative to the lowest polymorph listed for this composition = 0 meV per atom
space group = F-43m